# 1
Crystalline DyHfSi2 at its relaxed geometry, computed with PBE-GGA.

```
data_DyHfSi2
_cell_length_a 3.7688
_cell_length_b 5.4819
_cell_length_c 7.4195
_cell_angle_alpha 90.00
_cell_angle_beta 90.00
_cell_angle_gamma 90.00
_symmetry_space_group_name_H-M 'P m c 21'
_symmetry_Int_Tables_number 26
loop_
_symmetry_equiv_pos_as_xyz
'x,y,z'
'-x,-y,z+1/2'
'-x,y,z'
'x,-y,z+1/2'
loop_
_atom_site_label
_atom_site_type_symbol
_atom_site_fract_x
_atom_site_fract_y
_atom_site_fract_z
_atom_site_occupancy
Dy1 Dy 0.0000 0.1286 0.0000 1
Hf1 Hf 0.5000 0.3732 0.6415 1
Si1 Si 0.0000 0.3911 0.3626 1
Si2 Si 0.5000 0.1235 0.2840 1
```

Results
For the excess energy over the best structure of this formula in the dataset, the calculation gives 0.036 eV/atom. For the raw total energy, the calculation gives -7.10 eV/atom. Its crystal system is orthorhombic.

=====

# 2
Crystalline DyHfSi2 at its relaxed geometry, computed with PBE-GGA.

```
data_DyHfSi2
_cell_length_a 5.4907
_cell_length_b 3.7845
_cell_length_c 7.3759
_cell_angle_alpha 90.00
_cell_angle_beta 91.56
_cell_angle_gamma 90.00
_symmetry_space_group_name_H-M 'P 1 21/m 1'
_symmetry_Int_Tables_number 11
loop_
_symmetry_equiv_pos_as_xyz
'x,y,z'
'-x,-y,-z'
'-x,y+1/2,-z'
'x,-y+1/2,z'
loop_
_atom_site_label
_atom_site_type_symbol
_atom_site_fract_x
_atom_site_fract_y
_atom_site_fract_z
_atom_site_occupancy
Dy1 Dy 0.1252 0.2500 0.1808 1
Hf1 Hf 0.3847 0.2500 0.6751 1
Si1 Si 0.1430 0.7500 0.4665 1
Si2 Si 0.3682 0.7500 0.9538 1
```

Results
For the excess energy over the best structure of this formula in the dataset, the calculation gives 0.029 eV/atom. For the raw total energy, the calculation gives -7.11 eV/atom. Its crystal system is monoclinic.

=====

# 3
Crystalline DyHf3Si4 at its relaxed geometry, computed with PBE-GGA.

```
data_DyHf3Si4
_cell_length_a 5.3593
_cell_length_b 3.7775
_cell_length_c 7.1434
_cell_angle_alpha 90.00
_cell_angle_beta 90.76
_cell_angle_gamma 90.00
_symmetry_space_group_name_H-M 'P 1 m 1'
_symmetry_Int_Tables_number 6
loop_
_symmetry_equiv_pos_as_xyz
'x,y,z'
'x,-y,z'
loop_
_atom_site_label
_atom_site_type_symbol
_atom_site_fract_x
_atom_site_fract_y
_atom_site_fract_z
_atom_site_occupancy
Dy1 Dy 0.0000 0.0000 0.0000 1
Hf1 Hf 0.2549 0.0000 0.5004 1
Hf2 Hf 0.4968 0.5000 0.1507 1
Hf3 Hf 0.7488 0.5000 0.6411 1
Si1 Si 0.0123 0.5000 0.2923 1
Si2 Si 0.2402 0.5000 0.7730 1
Si3 Si 0.5118 0.0000 0.8599 1
Si4 Si 0.7321 0.0000 0.3690 1
```

Results
For the raw total energy, the calculation gives -7.80 eV/atom. Its crystal system is monoclinic.